# BeReN2O

BeReN2O after structural relaxation (PBE, the Alexandria database).

a b c (Å): 3.900 3.900 3.794
angles (deg): 90.00 90.00 90.00
Element x y z (fractional)
1 Be 0.000 0.000 0.000
2 Re 0.500 0.500 0.500
3 N 0.000 0.500 0.500
4 N 0.500 0.000 0.500
5 O 0.500 0.500 0.000

Properties
The value obtained for the uncorrected formation energy is 0.42 eV per atom.


# BaZn2Fe

BaZn2Fe after structural relaxation (PBE, the Alexandria database).

a b c (Å): 3.414 3.891 6.923
angles (deg): 90.00 90.00 90.00
Element x y z (fractional)
1 Ba 0.000 0.000 0.000
2 Zn 0.500 0.000 0.568
3 Zn 0.500 0.500 0.315
4 Fe 0.000 0.500 0.587

Properties
Its electronic total energy is -2.98 eV/atom.


# CaCdRu2

CaCdRu2 after structural relaxation (PBE, the Alexandria database).

a b c (Å): 4.093 4.093 4.355
angles (deg): 90.00 90.00 90.00
Element x y z (fractional)
1 Ca 0.000 0.000 0.000
2 Cd 0.500 0.500 0.000
3 Ru 0.000 0.500 0.500
4 Ru 0.500 0.000 0.500

Properties
Its electronic total energy is -4.94 eV/atom.


# AcHg6Pb2

AcHg6Pb2 after structural relaxation (PBE, the Alexandria database).

a b c (Å): 8.925 8.925 3.690
angles (deg): 90.00 90.00 120.00
Element x y z (fractional)
1 Ac 0.000 0.000 0.000
2 Hg 0.000 0.337 0.500
3 Hg 0.000 0.663 0.500
4 Hg 0.337 0.000 0.500
5 Hg 0.337 0.337 0.500
6 Hg 0.663 0.000 0.500
7 Hg 0.663 0.663 0.500
8 Pb 0.333 0.667 0.000
9 Pb 0.667 0.333 0.000

Properties
Its electronic total energy is -1.62 eV/atom.


Summary of N(E_F) in states/eV per atom
0.437; 0.746; 0.963; 0.412
(order as listed above)